No. 1
Below is an optimized crystal structure of CrCu2Cl, with properties calculated at the PBE-GGA level. Values from VASP.

symmetry	Cmmm
E	-4.495	eV/atom
energy above the lowest structure with this stoichiometry	275	meV/atom
raw formation energy	40.5	kJ per mole of atoms
D(E_F)	0.498	states/eV per atom

Geometry as Quantum ESPRESSO input:
```
&SYSTEM
  ibrav = 0, nat = 4, ntyp = 3
/
ATOMIC_SPECIES
Cr 52.00 Cr.upf
Cu 63.55 Cu.upf
Cl 35.45 Cl.upf
CELL_PARAMETERS angstrom
-0.160 1.194 4.676
4.065 -1.770 -1.913
0.912 2.847 -0.695
ATOMIC_POSITIONS crystal
Cr 0.000 0.500 0.500
Cu 0.000 0.000 0.000
Cu 0.500 0.500 0.000
Cl 0.500 0.000 0.500
```

***

No. 2
Below is an optimized crystal structure of DyTh2Hg5, with properties calculated at the PBE-GGA level. Values from VASP.

symmetry	I4/mmm
E	-2.898	eV/atom
D(E_F)	0.681	states/eV per atom
formation enthalpy at 0 K	-0.28	eV/atom

Geometry as Quantum ESPRESSO input:
```
&SYSTEM
  ibrav = 0, nat = 8, ntyp = 3
/
ATOMIC_SPECIES
Hg 200.59 Hg.upf
Th 232.04 Th.upf
Dy 162.50 Dy.upf
CELL_PARAMETERS angstrom
-3.661 1.172 3.433
-3.197 -3.348 -2.267
6.015 -4.553 4.100
ATOMIC_POSITIONS crystal
Hg 0.616 0.116 0.232
Hg 0.116 0.616 0.232
Hg 0.884 0.384 0.768
Hg 0.384 0.884 0.768
Hg 0.500 0.500 0.000
Th 0.261 0.261 0.523
Th 0.739 0.739 0.477
Dy 0.000 0.000 0.000
```

***

No. 3
Below is an optimized crystal structure of TaMn, with properties calculated at the PBE-GGA level. Values from VASP.

symmetry	I-43m
E	-8.594	eV/atom
D(E_F)	1.235	states/eV per atom
formation enthalpy at 0 K	1.92	eV/atom

Geometry as Quantum ESPRESSO input:
```
&SYSTEM
  ibrav = 0, nat = 16, ntyp = 2
/
ATOMIC_SPECIES
Mn 54.94 Mn.upf
Ta 180.95 Ta.upf
CELL_PARAMETERS angstrom
7.933 0.000 0.000
0.000 7.933 0.000
0.000 0.000 7.933
ATOMIC_POSITIONS crystal
Mn 0.173 0.827 0.827
Mn 0.827 0.827 0.173
Mn 0.173 0.173 0.173
Mn 0.673 0.327 0.327
Mn 0.327 0.673 0.327
Mn 0.327 0.327 0.673
Mn 0.673 0.673 0.673
Mn 0.827 0.173 0.827
Ta 0.371 0.629 0.629
Ta 0.371 0.371 0.371
Ta 0.629 0.371 0.629
Ta 0.129 0.871 0.129
Ta 0.129 0.129 0.871
Ta 0.871 0.871 0.871
Ta 0.871 0.129 0.129
Ta 0.629 0.629 0.371
```

***

No. 4
Below is an optimized crystal structure of NaGaSe2, with properties calculated at the PBE-GGA level. Values from VASP.

symmetry	Pna2_1
E	-3.684	eV/atom
raw formation energy	-82.5	kJ per mole of atoms
D(E_F)	0.000	states/eV per atom

Geometry as Quantum ESPRESSO input:
```
&SYSTEM
  ibrav = 0, nat = 16, ntyp = 3
/
ATOMIC_SPECIES
Se 78.96 Se.upf
Na 22.99 Na.upf
Ga 69.72 Ga.upf
CELL_PARAMETERS angstrom
-1.235 -1.086 -6.760
4.918 -8.075 0.399
-5.681 -3.381 1.581
ATOMIC_POSITIONS crystal
Se 0.027 0.899 0.640
Se 0.399 0.843 0.094
Se 0.101 0.343 0.594
Se 0.473 0.399 0.140
Se 0.899 0.657 0.094
Se 0.601 0.157 0.594
Se 0.527 0.601 0.640
Se 0.973 0.101 0.140
Na 0.424 0.884 0.520
Na 0.924 0.616 0.520
Na 0.576 0.116 0.020
Na 0.076 0.384 0.020
Ga 0.439 0.374 0.496
Ga 0.939 0.126 0.496
Ga 0.561 0.626 0.996
Ga 0.061 0.874 0.996
```

***

No. 5
Below is an optimized crystal structure of Pu3Sb2, with properties calculated at the PBE-GGA level. Values from VASP.

symmetry	R-3c
E	-10.490	eV/atom
energy above the lowest structure with this stoichiometry	146	meV/atom
raw formation energy	-23.3	kJ per mole of atoms
D(E_F)	5.156	states/eV per atom

Geometry as Quantum ESPRESSO input:
```
&SYSTEM
  ibrav = 0, nat = 10, ntyp = 2
/
ATOMIC_SPECIES
Sb 121.76 Sb.upf
Pu 244.00 Pu.upf
CELL_PARAMETERS angstrom
-3.947 -2.594 -6.859
2.803 -6.652 -4.153
-3.478 -6.246 -0.692
ATOMIC_POSITIONS crystal
Sb 0.110 0.110 0.671
Sb 0.890 0.890 0.329
Sb 0.390 0.390 0.829
Sb 0.610 0.610 0.171
Pu 0.018 0.750 0.750
Pu 0.482 0.018 0.750
Pu 0.518 0.982 0.250
Pu 0.750 0.482 0.750
Pu 0.982 0.250 0.250
Pu 0.250 0.518 0.250
```

***

No. 6
Below is an optimized crystal structure of Ca4AsPb, with properties calculated at the PBE-GGA level. Values from VASP.

symmetry	F-43m
E	-2.586	eV/atom
D(E_F)	1.260	states/eV per atom
formation enthalpy at 0 K	0.14	eV/atom

Geometry as Quantum ESPRESSO input:
```
&SYSTEM
  ibrav = 0, nat = 6, ntyp = 3
/
ATOMIC_SPECIES
As 74.92 As.upf
Pb 207.20 Pb.upf
Ca 40.08 Ca.upf
CELL_PARAMETERS angstrom
5.499 -3.404 0.212
1.737 -3.003 5.462
-0.204 -6.459 0.347
ATOMIC_POSITIONS crystal
As 0.000 0.000 0.000
Pb 0.750 0.750 0.750
Ca 0.375 0.375 0.375
Ca 0.375 0.375 0.876
Ca 0.876 0.375 0.375
Ca 0.375 0.876 0.375
```

***

No. 7
Below is an optimized crystal structure of Pm3Ru5N12, with properties calculated at the PBE-GGA level. Values from VASP.

symmetry	Ia-3d
E	-8.156	eV/atom
raw formation energy	-12.5	kJ per mole of atoms
D(E_F)	0.433	states/eV per atom

Geometry as Quantum ESPRESSO input:
```
&SYSTEM
  ibrav = 0, nat = 80, ntyp = 3
/
ATOMIC_SPECIES
N 14.01 N.upf
Ru 101.07 Ru.upf
Pm 145.00 Pm.upf
CELL_PARAMETERS angstrom
-8.633 6.159 -3.163
2.729 -6.983 -8.140
-2.700 -5.763 9.054
ATOMIC_POSITIONS crystal
N 0.419 0.303 0.317
N 0.616 0.602 0.919
N 0.014 0.616 0.697
N 0.514 0.317 0.898
N 0.419 0.116 0.602
N 0.514 0.197 0.116
N 0.116 0.419 0.102
N 0.616 0.014 0.197
N 0.303 0.884 0.986
N 0.683 0.486 0.602
N 0.898 0.817 0.514
N 0.898 0.081 0.884
N 0.197 0.683 0.081
N 0.986 0.384 0.303
N 0.384 0.986 0.803
N 0.116 0.697 0.514
N 0.581 0.884 0.398
N 0.317 0.514 0.398
N 0.398 0.384 0.581
N 0.486 0.803 0.884
N 0.183 0.081 0.697
N 0.803 0.317 0.919
N 0.884 0.303 0.486
N 0.398 0.014 0.317
N 0.183 0.102 0.986
N 0.081 0.183 0.197
N 0.081 0.898 0.384
N 0.817 0.898 0.014
N 0.197 0.514 0.616
N 0.602 0.616 0.419
N 0.581 0.697 0.683
N 0.102 0.919 0.116
N 0.102 0.183 0.486
N 0.384 0.398 0.081
N 0.697 0.581 0.183
N 0.697 0.116 0.014
N 0.817 0.919 0.303
N 0.803 0.486 0.384
N 0.884 0.581 0.898
N 0.683 0.197 0.581
N 0.919 0.817 0.803
N 0.303 0.419 0.817
N 0.014 0.398 0.817
N 0.919 0.102 0.616
N 0.486 0.683 0.102
N 0.317 0.803 0.419
N 0.986 0.602 0.183
N 0.602 0.986 0.683
Ru 0.000 0.000 0.000
Ru 0.500 0.500 0.000
Ru 0.500 0.000 0.500
Ru 0.625 0.875 0.250
Ru 0.875 0.625 0.750
Ru 0.125 0.750 0.375
Ru 0.250 0.875 0.125
Ru 0.000 0.000 0.500
Ru 0.500 0.500 0.500
Ru 0.250 0.375 0.625
Ru 0.000 0.500 0.500
Ru 0.125 0.375 0.250
Ru 0.000 0.500 0.000
Ru 0.625 0.750 0.875
Ru 0.375 0.125 0.750
Ru 0.750 0.625 0.375
Ru 0.875 0.250 0.625
Ru 0.375 0.250 0.125
Ru 0.500 0.000 0.000
Ru 0.750 0.125 0.875
Pm 0.250 0.125 0.375
Pm 0.125 0.875 0.750
Pm 0.625 0.375 0.750
Pm 0.875 0.750 0.125
Pm 0.750 0.375 0.125
Pm 0.125 0.250 0.875
Pm 0.875 0.125 0.250
Pm 0.375 0.625 0.250
Pm 0.750 0.875 0.625
Pm 0.250 0.625 0.875
Pm 0.375 0.750 0.625
Pm 0.625 0.250 0.375
```

***

No. 8
Below is an optimized crystal structure of SrAlMo2Rh, with properties calculated at the PBE-GGA level. Values from VASP.

symmetry	P4/mmm
E	-4.303	eV/atom
D(E_F)	1.484	states/eV per atom
formation enthalpy at 0 K	2.58	eV/atom

Geometry as Quantum ESPRESSO input:
```
&SYSTEM
  ibrav = 0, nat = 5, ntyp = 4
/
ATOMIC_SPECIES
Rh 102.91 Rh.upf
Sr 87.62 Sr.upf
Mo 95.94 Mo.upf
Al 26.98 Al.upf
CELL_PARAMETERS angstrom
-0.033 0.770 -4.803
1.168 -4.613 -0.748
-4.719 -1.170 -0.155
ATOMIC_POSITIONS crystal
Rh 0.000 0.500 0.000
Sr 0.000 0.000 0.000
Mo 0.500 0.000 0.000
Mo 0.000 0.000 0.500
Al 0.500 0.500 0.500
```

***

No. 9
Below is an optimized crystal structure of LiNpS, with properties calculated at the PBE-GGA level. Values from VASP.

symmetry	R-3m
E	-7.451	eV/atom
raw formation energy	-108.4	kJ per mole of atoms
D(E_F)	0.630	states/eV per atom

Geometry as Quantum ESPRESSO input:
```
&SYSTEM
  ibrav = 0, nat = 6, ntyp = 3
/
ATOMIC_SPECIES
Np 237.00 Np.upf
Li 6.94 Li.upf
S 32.06 S.upf
CELL_PARAMETERS angstrom
3.614 0.000 0.000
1.807 3.130 0.000
1.807 1.043 8.515
ATOMIC_POSITIONS crystal
Np 0.141 0.141 0.577
Np 0.859 0.859 0.423
Li 0.699 0.699 0.903
Li 0.301 0.301 0.097
S 0.401 0.401 0.796
S 0.599 0.599 0.204
```

***

No. 10
Below is an optimized crystal structure of ScCo2W, with properties calculated at the PBE-GGA level. Values from VASP.

symmetry	Fm-3m
E	-8.369	eV/atom
energy above the lowest structure with this stoichiometry	73	meV/atom
D(E_F)	1.028	states/eV per atom
formation enthalpy at 0 K	0.00	eV/atom

Geometry as Quantum ESPRESSO input:
```
&SYSTEM
  ibrav = 0, nat = 4, ntyp = 3
/
ATOMIC_SPECIES
Co 58.93 Co.upf
W 183.84 W.upf
Sc 44.96 Sc.upf
CELL_PARAMETERS angstrom
-0.749 -1.253 4.073
-1.934 2.700 2.773
-4.048 -0.782 1.313
ATOMIC_POSITIONS crystal
Co 0.750 0.750 0.750
Co 0.250 0.250 0.250
W 0.500 0.500 0.500
Sc 0.000 0.000 0.000
```

***

No. 11
Below is an optimized crystal structure of BaCa5Zn4, with properties calculated at the PBE-GGA level. Values from VASP.

symmetry	P4/mmm
E	-1.870	eV/atom
D(E_F)	1.004	states/eV per atom
formation enthalpy at 0 K	-0.17	eV/atom

Geometry as Quantum ESPRESSO input:
```
&SYSTEM
  ibrav = 0, nat = 10, ntyp = 3
/
ATOMIC_SPECIES
Zn 65.41 Zn.upf
Ba 137.33 Ba.upf
Ca 40.08 Ca.upf
CELL_PARAMETERS angstrom
-2.185 -2.766 1.318
-0.550 -1.239 -3.511
16.772 -12.409 1.754
ATOMIC_POSITIONS crystal
Zn 0.000 0.000 0.758
Zn 0.000 0.000 0.584
Zn 0.000 0.000 0.416
Zn 0.000 0.000 0.242
Ba 0.000 0.000 0.000
Ca 0.500 0.500 0.841
Ca 0.500 0.500 0.329
Ca 0.500 0.500 0.671
Ca 0.500 0.500 0.500
Ca 0.500 0.500 0.159
```

***

No. 12
Below is an optimized crystal structure of Cu10Ni2Au, with properties calculated at the PBE-GGA level. Values from VASP.

symmetry	Fmmm
E	-4.192	eV/atom
D(E_F)	0.541	states/eV per atom
formation enthalpy at 0 K	0.10	eV/atom

Geometry as Quantum ESPRESSO input:
```
&SYSTEM
  ibrav = 0, nat = 13, ntyp = 3
/
ATOMIC_SPECIES
Au 196.97 Au.upf
Cu 63.55 Cu.upf
Ni 58.69 Ni.upf
CELL_PARAMETERS angstrom
4.761 0.000 0.000
2.381 5.872 0.000
2.381 0.000 5.882
ATOMIC_POSITIONS crystal
Au 0.000 0.000 0.000
Cu 0.997 0.353 0.653
Cu 0.000 0.000 0.500
Cu 0.716 0.783 0.785
Cu 0.650 0.353 0.347
Cu 0.350 0.647 0.653
Cu 0.501 0.783 0.215
Cu 0.499 0.217 0.785
Cu 0.003 0.647 0.347
Cu 0.284 0.217 0.215
Cu 0.500 0.000 0.500
Ni 0.000 0.500 0.000
Ni 0.500 0.500 0.000
```

***

No. 13
Below is an optimized crystal structure of K2LiTa, with properties calculated at the PBE-GGA level. Values from VASP.

symmetry	P4/mmm
E	-2.965	eV/atom
energy above the lowest structure with this stoichiometry	88	meV/atom
D(E_F)	0.966	states/eV per atom
formation enthalpy at 0 K	1.02	eV/atom

Geometry as Quantum ESPRESSO input:
```
&SYSTEM
  ibrav = 0, nat = 4, ntyp = 3
/
ATOMIC_SPECIES
K 39.10 K.upf
Ta 180.95 Ta.upf
Li 6.94 Li.upf
CELL_PARAMETERS angstrom
-1.689 -0.925 2.397
2.567 -0.480 1.624
-0.471 11.905 4.265
ATOMIC_POSITIONS crystal
K 0.000 0.000 0.987
K 0.000 0.000 0.513
Ta 0.500 0.500 0.750
Li 0.500 0.500 0.250
```

***

No. 14
Below is an optimized crystal structure of CdHOF2, with properties calculated at the PBE-GGA level. Values from VASP.

symmetry	P4/mmm
E	-3.332	eV/atom
energy above the lowest structure with this stoichiometry	0	meV/atom
D(E_F)	0.557	states/eV per atom

Geometry as Quantum ESPRESSO input:
```
&SYSTEM
  ibrav = 0, nat = 5, ntyp = 4
/
ATOMIC_SPECIES
F 19.00 F.upf
O 16.00 O.upf
Cd 112.41 Cd.upf
H 1.01 H.upf
CELL_PARAMETERS angstrom
-3.724 -1.548 -0.847
1.044 -0.340 -3.972
0.955 -2.555 0.470
ATOMIC_POSITIONS crystal
F 0.500 0.000 0.000
F 0.000 0.500 0.000
O 0.000 0.000 0.500
Cd 0.500 0.500 0.500
H 0.000 0.000 0.000
```

***

No. 15
Below is an optimized crystal structure of TbPuPaGa, with properties calculated at the PBE-GGA level. Values from VASP.

symmetry	F-43m
E	-7.809	eV/atom
D(E_F)	2.218	states/eV per atom
formation enthalpy at 0 K	0.06	eV/atom

Geometry as Quantum ESPRESSO input:
```
&SYSTEM
  ibrav = 0, nat = 4, ntyp = 4
/
ATOMIC_SPECIES
Pa 231.04 Pa.upf
Ga 69.72 Ga.upf
Pu 244.00 Pu.upf
Tb 158.93 Tb.upf
CELL_PARAMETERS angstrom
5.121 0.000 0.000
2.560 4.435 0.000
2.560 1.478 4.181
ATOMIC_POSITIONS crystal
Pa 0.250 0.250 0.250
Ga 0.750 0.750 0.750
Pu 0.000 0.000 0.000
Tb 0.500 0.500 0.500
```

***

No. 16
Below is an optimized crystal structure of Tb3Zn2Ru2, with properties calculated at the PBE-GGA level. Values from VASP.

symmetry	Immm
E	-5.298	eV/atom
D(E_F)	0.710	states/eV per atom
formation enthalpy at 0 K	-0.30	eV/atom

Geometry as Quantum ESPRESSO input:
```
&SYSTEM
  ibrav = 0, nat = 7, ntyp = 3
/
ATOMIC_SPECIES
Zn 65.41 Zn.upf
Ru 101.07 Ru.upf
Tb 158.93 Tb.upf
CELL_PARAMETERS angstrom
3.615 0.000 -0.619
-0.170 4.268 -0.995
-0.233 -0.048 9.502
ATOMIC_POSITIONS crystal
Zn 0.432 0.432 0.865
Zn 0.568 0.568 0.135
Ru 0.357 0.857 0.715
Ru 0.643 0.143 0.285
Tb 0.000 0.000 0.000
Tb 0.807 0.307 0.613
Tb 0.193 0.693 0.387
```

***

No. 17
Below is an optimized crystal structure of BaTlAs2, with properties calculated at the PBE-GGA level. Values from VASP.

symmetry	P4mm
E	-3.619	eV/atom
energy above the lowest structure with this stoichiometry	283	meV/atom
D(E_F)	0.581	states/eV per atom
formation enthalpy at 0 K	-0.22	eV/atom

Geometry as Quantum ESPRESSO input:
```
&SYSTEM
  ibrav = 0, nat = 4, ntyp = 3
/
ATOMIC_SPECIES
Ba 137.33 Ba.upf
Tl 204.38 Tl.upf
As 74.92 As.upf
CELL_PARAMETERS angstrom
3.954 0.029 0.000
-0.030 3.954 0.000
0.000 0.000 7.221
ATOMIC_POSITIONS crystal
Ba 0.000 0.000 0.477
Tl 0.500 0.500 0.800
As 0.000 0.000 0.039
As 0.500 0.500 0.183
```

***

No. 18
Below is an optimized crystal structure of Rb3In2Sb4, with properties calculated at the PBE-GGA level. Values from VASP.

symmetry	P-1
E	-3.095	eV/atom
energy above the lowest structure with this stoichiometry	0	meV/atom
raw formation energy	-32.0	kJ per mole of atoms
D(E_F)	0.244	states/eV per atom

Geometry as Quantum ESPRESSO input:
```
&SYSTEM
  ibrav = 0, nat = 9, ntyp = 3
/
ATOMIC_SPECIES
Rb 85.47 Rb.upf
Sb 121.76 Sb.upf
In 114.82 In.upf
CELL_PARAMETERS angstrom
4.515 0.001 -1.258
-0.962 7.814 -3.453
0.424 -0.255 10.262
ATOMIC_POSITIONS crystal
Rb 0.852 0.453 0.705
Rb 0.148 0.547 0.295
Rb 0.000 0.000 0.000
Sb 0.797 0.841 0.593
Sb 0.203 0.159 0.407
Sb 0.488 0.328 0.976
Sb 0.512 0.672 0.024
In 0.669 0.931 0.339
In 0.331 0.069 0.661
```

***

No. 19
Below is an optimized crystal structure of Tb2Sm3Er, with properties calculated at the PBE-GGA level. Values from VASP.

symmetry	P6_3/mcm
E	-4.652	eV/atom
energy above the lowest structure with this stoichiometry	15	meV/atom
D(E_F)	1.106	states/eV per atom
formation enthalpy at 0 K	0.01	eV/atom

Geometry as Quantum ESPRESSO input:
```
&SYSTEM
  ibrav = 0, nat = 12, ntyp = 3
/
ATOMIC_SPECIES
Sm 150.36 Sm.upf
Er 167.26 Er.upf
Tb 158.93 Tb.upf
CELL_PARAMETERS angstrom
-2.349 -5.422 -1.994
5.622 0.160 2.692
-4.917 -1.682 10.370
ATOMIC_POSITIONS crystal
Sm 0.332 0.000 0.750
Sm 0.000 0.668 0.250
Sm 0.668 0.000 0.250
Sm 0.000 0.332 0.750
Sm 0.332 0.332 0.250
Sm 0.668 0.668 0.750
Er 0.000 0.000 0.000
Er 0.000 0.000 0.500
Tb 0.333 0.667 0.500
Tb 0.667 0.333 0.500
Tb 0.333 0.667 0.000
Tb 0.667 0.333 0.000
```

***

No. 20
Below is an optimized crystal structure of BaTlMo, with properties calculated at the PBE-GGA level. Values from VASP.

symmetry	P3m1
E	-4.062	eV/atom
energy above the lowest structure with this stoichiometry	229	meV/atom
D(E_F)	0.832	states/eV per atom
formation enthalpy at 0 K	0.98	eV/atom

Geometry as Quantum ESPRESSO input:
```
&SYSTEM
  ibrav = 0, nat = 3, ntyp = 3
/
ATOMIC_SPECIES
Ba 137.33 Ba.upf
Tl 204.38 Tl.upf
Mo 95.94 Mo.upf
CELL_PARAMETERS angstrom
3.530 0.000 0.000
-1.765 3.057 0.000
0.000 0.000 7.793
ATOMIC_POSITIONS crystal
Ba 0.000 0.000 0.023
Tl 0.667 0.333 0.624
Mo 0.333 0.667 0.352
```